1.
Compound: AgGe2Te2
Source: the Alexandria database
Functional: GGA-PBE
Structure: relaxed

a b c (Å): 7.806 7.806 4.067
angles (deg): 90.00 90.00 90.00
Fractional coordinates of all 10 atoms:
Ge (0.356, 0.856, 0.000)
Ge (0.856, 0.644, 0.000)
Ge (0.644, 0.144, 0.000)
Ge (0.144, 0.356, 0.000)
Te (0.177, 0.677, 0.500)
Te (0.677, 0.823, 0.500)
Te (0.823, 0.323, 0.500)
Te (0.323, 0.177, 0.500)
Ag (0.000, 0.000, 0.000)
Ag (0.500, 0.500, 0.000)

Values from the calculation:
total moment: 0.00 Bohr magnetons per cell
calculated density: 6.81 g cm⁻³
calculated total energy: -3.472 eV per atom
N(E_F): 3.96 states/eV per cell
energy relative to the lowest polymorph listed for this composition: 34 meV per atom
space-group type: No. 127



2.
Compound: Ag8GeTe6
Source: the Alexandria database
Functional: GGA-PBE
Structure: relaxed

a b c (Å): 8.102 8.174 8.283
angles (deg): 62.04 62.16 63.38
Fractional coordinates of all 15 atoms:
Ag (0.075, 0.784, 0.820)
Ag (0.827, 0.186, 0.759)
Ag (0.813, 0.813, 0.370)
Ag (0.662, 0.223, 0.146)
Ag (0.408, 0.659, 0.983)
Ag (0.982, 0.014, 0.448)
Ag (0.520, 0.971, 0.985)
Ag (0.991, 0.405, 0.982)
Ge (0.489, 0.529, 0.470)
Te (0.050, 0.010, 0.012)
Te (0.775, 0.741, 0.754)
Te (0.396, 0.394, 0.850)
Te (0.872, 0.424, 0.362)
Te (0.394, 0.903, 0.384)
Te (0.320, 0.409, 0.367)

Values from the calculation:
total moment: 0.00 Bohr magnetons per cell
calculated density: 6.90 g cm⁻³
calculated total energy: -3.130 eV per atom
N(E_F): 0.68 states/eV per cell
energy relative to the lowest polymorph listed for this composition: 17 meV per atom
space-group type: No. 1



3.
Compound: Ag5Ge2Te5
Source: the Alexandria database
Functional: GGA-PBE
Structure: relaxed

a b c (Å): 4.175 7.303 11.407
angles (deg): 107.91 90.00 106.61
Fractional coordinates of all 12 atoms:
Ag (0.500, 0.000, 0.500)
Ag (0.660, 0.320, 0.047)
Ag (0.712, 0.424, 0.321)
Ag (0.288, 0.576, 0.679)
Ag (0.340, 0.680, 0.953)
Ge (0.048, 0.096, 0.780)
Ge (0.952, 0.904, 0.220)
Te (0.118, 0.237, 0.428)
Te (0.692, 0.383, 0.798)
Te (0.308, 0.617, 0.202)
Te (0.882, 0.763, 0.572)
Te (0.000, 0.000, 0.000)

Values from the calculation:
total moment: 0.00 Bohr magnetons per cell
calculated density: 6.96 g cm⁻³
calculated total energy: -3.223 eV per atom
N(E_F): 2.80 states/eV per cell
space-group type: No. 12



4.
Compound: Ag8GeTe6
Source: the Alexandria database
Functional: GGA-PBE
Structure: relaxed

a b c (Å): 8.340 8.318 14.274
angles (deg): 74.59 73.42 60.41
Fractional coordinates of all 30 atoms:
Ag (0.719, 0.356, 0.877)
Ag (0.692, 0.694, 0.541)
Ag (0.176, 0.600, 0.650)
Ag (0.315, 0.015, 0.885)
Ag (0.641, 0.157, 0.571)
Ag (0.250, 0.736, 0.814)
Ag (0.034, 0.062, 0.197)
Ag (0.550, 0.439, 0.694)
Ag (0.831, 0.928, 0.902)
Ag (0.567, 0.186, 0.054)
Ag (0.608, 0.894, 0.336)
Ag (0.841, 0.484, 0.374)
Ag (0.124, 0.634, 0.019)
Ag (0.498, 0.270, 0.383)
Ag (0.025, 0.707, 0.230)
Ag (0.105, 0.550, 0.451)
Ge (0.113, 0.138, 0.619)
Ge (0.598, 0.646, 0.121)
Te (0.986, 0.029, 0.013)
Te (0.364, 0.355, 0.887)
Te (0.480, 0.534, 0.490)
Te (0.920, 0.453, 0.690)
Te (0.653, 0.705, 0.930)
Te (0.877, 0.929, 0.392)
Te (0.430, 0.951, 0.681)
Te (0.914, 0.957, 0.694)
Te (0.419, 0.961, 0.190)
Te (0.181, 0.187, 0.428)
Te (0.928, 0.452, 0.172)
Te (0.417, 0.448, 0.191)

Values from the calculation:
total moment: 0.00 Bohr magnetons per cell
calculated density: 6.92 g cm⁻³
calculated total energy: -3.145 eV per atom
N(E_F): 2.52 states/eV per cell
energy relative to the lowest polymorph listed for this composition: 2 meV per atom
space-group type: No. 1



5.
Compound: AgGe3Te4
Source: the Alexandria database
Functional: GGA-PBE
Structure: relaxed

a b c (Å): 6.023 5.845 12.137
angles (deg): 90.00 90.00 90.00
Fractional coordinates of all 16 atoms:
Ag (0.057, 0.250, 0.000)
Ag (0.557, 0.750, 0.500)
Ge (0.542, 0.750, 0.000)
Ge (0.049, 0.750, 0.248)
Ge (0.549, 0.250, 0.252)
Ge (0.042, 0.250, 0.500)
Ge (0.549, 0.250, 0.748)
Ge (0.049, 0.750, 0.752)
Te (0.078, 0.750, 0.000)
Te (0.567, 0.250, 0.000)
Te (0.087, 0.250, 0.255)
Te (0.587, 0.750, 0.245)
Te (0.067, 0.750, 0.500)
Te (0.578, 0.250, 0.500)
Te (0.587, 0.750, 0.755)
Te (0.087, 0.250, 0.745)

Values from the calculation:
total moment: 0.00 Bohr magnetons per cell
calculated density: 6.50 g cm⁻³
calculated total energy: -3.710 eV per atom
N(E_F): 6.28 states/eV per cell
energy relative to the lowest polymorph listed for this composition: 12 meV per atom
space-group type: No. 44



6.
Compound: Ag4GeTe4
Source: the Alexandria database
Functional: GGA-PBE
Structure: relaxed

a b c (Å): 7.658 7.658 9.286
angles (deg): 90.00 90.00 100.61
Fractional coordinates of all 18 atoms:
Ag (0.182, 0.818, 0.500)
Ag (0.182, 0.818, 0.000)
Ag (0.657, 0.924, 0.750)
Ag (0.076, 0.343, 0.250)
Ag (0.924, 0.657, 0.750)
Ag (0.343, 0.076, 0.250)
Ag (0.818, 0.182, 0.000)
Ag (0.818, 0.182, 0.500)
Ge (0.358, 0.358, 0.750)
Ge (0.642, 0.642, 0.250)
Te (0.316, 0.698, 0.750)
Te (0.302, 0.684, 0.250)
Te (0.190, 0.190, 0.522)
Te (0.190, 0.190, 0.978)
Te (0.810, 0.810, 0.478)
Te (0.810, 0.810, 0.022)
Te (0.684, 0.302, 0.250)
Te (0.698, 0.316, 0.750)

Values from the calculation:
total moment: 0.00 Bohr magnetons per cell
calculated density: 6.29 g cm⁻³
calculated total energy: -3.207 eV per atom
N(E_F): 3.17 states/eV per cell
space-group type: No. 63



7.
Compound: Ag8GeTe6
Source: the Alexandria database
Functional: GGA-PBE
Structure: relaxed

a b c (Å): 8.184 8.113 8.220
angles (deg): 62.55 62.30 63.19
Fractional coordinates of all 15 atoms:
Ag (0.188, 0.687, 0.217)
Ag (0.785, 0.981, 0.314)
Ag (0.041, 0.376, 0.579)
Ag (0.162, 0.120, 0.073)
Ag (0.777, 0.350, 0.978)
Ag (0.002, 0.075, 0.488)
Ag (0.017, 0.542, 0.019)
Ag (0.616, 0.053, 0.010)
Ge (0.524, 0.524, 0.501)
Te (0.025, 0.988, 0.921)
Te (0.274, 0.282, 0.227)
Te (0.602, 0.659, 0.125)
Te (0.601, 0.147, 0.626)
Te (0.145, 0.659, 0.608)
Te (0.667, 0.652, 0.625)

Values from the calculation:
total moment: 0.00 Bohr magnetons per cell
calculated density: 6.91 g cm⁻³
calculated total energy: -3.137 eV per atom
N(E_F): 0.41 states/eV per cell
energy relative to the lowest polymorph listed for this composition: 10 meV per atom
space-group type: No. 1



8.
Compound: Tl2AgGeTe4
Source: the Alexandria database
Functional: GGA-PBE
Structure: relaxed

a b c (Å): 8.097 7.889 7.214
angles (deg): 125.54 126.54 86.42
Fractional coordinates of all 8 atoms:
Tl (0.590, 0.091, 0.182)
Tl (0.218, 0.216, 0.435)
Ag (0.988, 0.488, 0.976)
Ge (0.724, 0.725, 0.449)
Te (0.699, 0.674, 0.766)
Te (0.770, 0.375, 0.104)
Te (0.332, 0.725, 0.098)
Te (0.065, 0.092, 0.765)

Values from the calculation:
total moment: 0.00 Bohr magnetons per cell
calculated density: 6.73 g cm⁻³
calculated total energy: -3.230 eV per atom
N(E_F): 3.89 states/eV per cell
space-group type: No. 1



9.
Compound: TlAgGe2Te6
Source: the Alexandria database
Functional: GGA-PBE
Structure: relaxed

a b c (Å): 7.400 9.918 9.918
angles (deg): 85.00 75.88 75.88
Fractional coordinates of all 20 atoms:
Tl (0.250, 0.815, 0.185)
Tl (0.750, 0.185, 0.815)
Ag (0.250, 0.223, 0.777)
Ag (0.750, 0.777, 0.223)
Ge (0.276, 0.780, 0.639)
Ge (0.224, 0.361, 0.220)
Ge (0.724, 0.220, 0.361)
Ge (0.776, 0.639, 0.780)
Te (0.150, 0.952, 0.847)
Te (0.350, 0.153, 0.048)
Te (0.850, 0.048, 0.153)
Te (0.650, 0.847, 0.952)
Te (0.425, 0.915, 0.409)
Te (0.075, 0.591, 0.085)
Te (0.575, 0.085, 0.591)
Te (0.925, 0.409, 0.915)
Te (0.017, 0.695, 0.549)
Te (0.483, 0.451, 0.305)
Te (0.983, 0.305, 0.451)
Te (0.517, 0.549, 0.695)

Values from the calculation:
total moment: 0.00 Bohr magnetons per cell
calculated density: 5.94 g cm⁻³
calculated total energy: -3.340 eV per atom
N(E_F): 5.00 states/eV per cell
space-group type: No. 15



10.
Compound: TlAgGeTe2
Source: the Alexandria database
Functional: GGA-PBE
Structure: relaxed

a b c (Å): 6.106 7.480 6.076
angles (deg): 90.00 90.00 90.00
Fractional coordinates of all 10 atoms:
Tl (0.223, 0.500, 0.750)
Tl (0.777, 0.500, 0.250)
Ag (0.619, 0.000, 0.250)
Ag (0.381, 0.000, 0.750)
Ge (0.000, 0.000, 0.000)
Ge (0.000, 0.000, 0.500)
Te (0.730, 0.739, 0.750)
Te (0.730, 0.261, 0.750)
Te (0.270, 0.739, 0.250)
Te (0.270, 0.261, 0.250)

Values from the calculation:
total moment: 0.00 Bohr magnetons per cell
calculated density: 7.66 g cm⁻³
calculated total energy: -3.241 eV per atom
N(E_F): 4.27 states/eV per cell
space-group type: No. 51



11.
Compound: TlAgGeTe3
Source: the Alexandria database
Functional: GGA-PBE
Structure: relaxed

a b c (Å): 4.150 8.382 10.928
angles (deg): 104.58 90.00 90.00
Fractional coordinates of all 12 atoms:
Tl (0.250, 0.227, 0.237)
Tl (0.750, 0.773, 0.763)
Ag (0.250, 0.673, 0.089)
Ag (0.750, 0.327, 0.911)
Ge (0.250, 0.138, 0.637)
Ge (0.750, 0.862, 0.363)
Te (0.750, 0.907, 0.095)
Te (0.250, 0.093, 0.905)
Te (0.250, 0.783, 0.509)
Te (0.750, 0.217, 0.491)
Te (0.750, 0.512, 0.188)
Te (0.250, 0.488, 0.812)

Values from the calculation:
total moment: 0.00 Bohr magnetons per cell
calculated density: 6.93 g cm⁻³
calculated total energy: -3.266 eV per atom
N(E_F): 5.19 states/eV per cell
space-group type: No. 11



12.
Compound: ZnAg2GeTe
Source: the Alexandria database
Functional: GGA-PBE
Structure: relaxed

a b c (Å): 4.972 4.810 4.972
angles (deg): 90.00 90.00 90.00
Fractional coordinates of all 5 atoms:
Ge (0.000, 0.500, 0.000)
Te (0.500, 0.500, 0.500)
Zn (0.000, 0.000, 0.000)
Ag (0.000, 0.000, 0.500)
Ag (0.500, 0.000, 0.000)

Values from the calculation:
total moment: 0.00 Bohr magnetons per cell
calculated density: 6.72 g cm⁻³
calculated total energy: -2.503 eV per atom
N(E_F): 2.64 states/eV per cell
space-group type: No. 123